Entry from Alexandria via LeMat-Bulk: a relaxed structure of La5Er3 (GGA-PBE).

```
data_La5Er3
_cell_length_a 3.702
_cell_length_b 3.702
_cell_length_c 20.193
_cell_angle_alpha 90.00
_cell_angle_beta 90.00
_cell_angle_gamma 90.00
_symmetry_space_group_name_H-M 'P 4/m m m'
_symmetry_Int_Tables_number 123
_symmetry_space_group_name_Hall '-P 4 2'
loop_
_atom_site_label
_atom_site_fract_x
_atom_site_fract_y
_atom_site_fract_z
_atom_site_occupancy
La1 0.000 0.000 0.000 1
La2 0.000 0.000 0.247 1
La3 0.500 0.500 0.376 1
Er1 0.000 0.000 0.500 1
Er2 0.500 0.500 0.122 1
```

Its total DFT energy (no corrections) is -4.758 eV/atom. The energy of formation from the pure elements is 0.032 eV/atom. The magnetic moment is 0.00 μB/f.u.